The following is a PBEsol calculation of a relaxed RbNdP4O12 crystal, from Alexandria via LeMat-Bulk.

Results
For the formation energy without anion corrections, the calculation gives -44.545 eV/f.u. The calculation puts the offset from the most stable computed form at 0 meV/atom. The crystal system is monoclinic.

abc: 10.5014 9.0847 12.9187
angles: 90.00 125.16 90.00
Closest atoms and distances in Å follow each position.
Space group P2_1/c (No. 14)
Inequivalent atoms, fractional coordinates:
1 Rb 0.2443 0.0712 0.0426  5 O 2.88-3.11
2 Nd 0.3147 0.7270 0.8150  8 O 2.36-2.49
3 P 0.0239 0.0262 0.2738  4 O 1.49-1.62
4 P 0.1980 0.6026 0.0209  4 O 1.49-1.62
5 P 0.3209 0.1719 0.3598  4 O 1.49-1.62
6 P 0.3858 0.0951 0.7405  4 O 1.49-1.62
7 O 0.0384 0.5423 0.8957  2 P 1.61-1.62
8 O 0.0668 0.5851 0.7127  1 P 1.50
9 O 0.1342 0.5942 0.3077  1 P 1.49
10 O 0.1525 0.1562 0.3359  2 P 1.62
11 O 0.1612 0.7050 0.0911  1 P 1.50
12 O 0.2633 0.0525 0.5947  2 P 1.60-1.62
13 O 0.2745 0.2072 0.7516  2 P 1.62
14 O 0.3010 0.6550 0.9836  1 P 1.49
15 O 0.3640 0.0336 0.3239  1 P 1.50
16 O 0.4245 0.5360 0.3240  1 P 1.50
17 O 0.4254 0.2399 0.4879  1 P 1.49
18 O 0.4830 0.6804 0.7446  1 P 1.49

The following is a PBEsol calculation of a relaxed YP2F crystal, from Alexandria via LeMat-Bulk.

Results
For the formation energy without anion corrections, the calculation gives -2.332 eV/f.u. The crystal system is cubic.

abc: 6.4708 6.4708 6.4708
angles: 90.00 90.00 90.00
Closest atoms and distances in Å follow each position.
Space group Fm-3m (No. 225)
Inequivalent atoms, fractional coordinates:
1 Y 0.0000 0.0000 0.0000  8 P 2.80
2 P 0.2500 0.2500 0.2500  4 F 2.80, 4 Y 2.80
3 F 0.0000 0.0000 0.5000  8 P 2.80

The following is a PBEsol calculation of a relaxed Rb3LaPd crystal, from Alexandria via LeMat-Bulk.

Results
The value obtained for the formation enthalpy at 0 K is 1.366 eV per atom. The crystal system is cubic.

abc: 6.6199 6.6199 6.6199
angles: 90.00 90.00 90.00
Closest atoms and distances in Å follow each position.
Space group Pm-3m (No. 221)
Inequivalent atoms, fractional coordinates:
1 Rb 0.0000 0.0000 0.5000  2 La 3.31
2 La 0.0000 0.0000 0.0000  6 Rb 3.31
3 Pd 0.5000 0.5000 0.5000  12 Rb 4.68

The following is a PBEsol calculation of a relaxed Be2TeH2 crystal, from Alexandria via LeMat-Bulk.

Results
The crystal system is tetragonal. The calculation puts the total DFT energy (no corrections) at -3.30 eV per atom.

abc: 3.2968 3.2968 10.6813
angles: 90.00 90.00 90.00
Closest atoms and distances in Å follow each position.
Space group I4/mmm (No. 139)
Inequivalent atoms, fractional coordinates:
1 Be 0.0000 0.0000 0.2198  4 H 1.68
2 Te 0.0000 0.0000 0.0000  2 Be 2.35
3 H 0.0000 0.5000 0.2500  4 Be 1.68

The following is a PBEsol calculation of a relaxed InPtSN2 crystal, from Alexandria via LeMat-Bulk.

Results
For the formation energy without anion corrections, the calculation gives 4.127 eV/f.u. The crystal system is tetragonal.

abc: 3.7151 3.7151 7.3832
angles: 90.00 90.00 90.00
Closest atoms and distances in Å follow each position.
Space group P4/mmm (No. 123)
Inequivalent atoms, fractional coordinates:
1 In 0.0000 0.0000 0.0000  4 S 2.63
2 Pt 0.5000 0.5000 0.5000  4 N 1.86
3 S 0.5000 0.5000 0.0000  4 In 2.63
4 N 0.0000 0.5000 0.5000  2 Pt 1.86

The following is a PBEsol calculation of a relaxed MgFeIrAu2 crystal, from Alexandria via LeMat-Bulk.

Results
The value obtained for the formation enthalpy at 0 K is 1.248 eV per atom. The crystal system is tetragonal.

abc: 4.5719 4.5719 4.4491
angles: 90.00 90.00 90.00
Closest atoms and distances in Å follow each position.
Space group P4/mmm (No. 123)
Inequivalent atoms, fractional coordinates:
1 Mg 0.0000 0.0000 0.0000  2 Fe 2.22
2 Fe 0.0000 0.0000 0.5000  2 Mg 2.22, 4 Au 2.29
3 Ir 0.5000 0.5000 0.0000  8 Au 3.19, 4 Mg 3.23
4 Au 0.0000 0.5000 0.5000  2 Fe 2.29

Calculated volume in Å³ per atom, matching the order above: 13.99 16.93 58.02 11.61 20.38 18.60